[1]
# BaTi2Co

BaTi2Co after structural relaxation (PBEsol, the Alexandria database).

abc: 4.6303 4.6303 4.6303
angles: 60.00 60.00 60.00
Sites, in units of the cell vectors:
Ba 0.0000 0.0000 0.0000
Ti 0.2500 0.2500 0.2500
Ti 0.7500 0.7500 0.7500
Co 0.5000 0.5000 0.5000

Computed properties:
DFT formation energy   0.7679 eV/atom
Magnetic moment   0.003 μB/f.u.
Crystal system   cubic
Symmetry   Fm-3m (225)
E_tot   -5.86 eV per atom

=====

[2]
# BaTlCo2

BaTlCo2 after structural relaxation (PBEsol, the Alexandria database).

abc: 4.8245 4.8245 4.8245
angles: 60.00 60.00 60.00
Sites, in units of the cell vectors:
Ba 0.0000 0.0000 0.0000
Tl 0.5000 0.5000 0.5000
Co 0.2500 0.2500 0.2500
Co 0.7500 0.7500 0.7500

Computed properties:
DFT formation energy   0.7690 eV/atom
Magnetic moment   2.318 μB/f.u.
Crystal system   cubic
Symmetry   Fm-3m (225)
E_tot   -4.29 eV per atom

=====

[3]
# BaTlCo3

BaTlCo3 after structural relaxation (PBEsol, the Alexandria database).

abc: 4.7879 4.7879 4.7879
angles: 90.00 90.00 90.00
Sites, in units of the cell vectors:
Ba 0.0000 0.0000 0.0000
Tl 0.5000 0.5000 0.5000
Co 0.0000 0.0000 0.5000
Co 0.0000 0.5000 0.0000
Co 0.5000 0.0000 0.0000

Computed properties:
DFT formation energy   2.1020 eV/atom
Magnetic moment   2.613 μB/f.u.
Crystal system   cubic
Symmetry   Pm-3m (221)
E_tot   -3.50 eV per atom

=====

[4]
# BaTlCo2

BaTlCo2 after structural relaxation (PBEsol, the Alexandria database).

abc: 4.1445 4.5170 5.4859
angles: 90.00 92.41 90.00
Sites, in units of the cell vectors:
Ba 0.0000 0.0000 0.0000
Tl 0.5000 0.0000 0.5000
Co 0.2438 0.5000 0.5732
Co 0.7562 0.5000 0.4268

Computed properties:
DFT formation energy   0.5427 eV/atom
Magnetic moment   1.784 μB/f.u.
Crystal system   monoclinic
Symmetry   P2/m (10)
E_tot   -4.52 eV per atom

=====

[5]
# BaTlCo2

BaTlCo2 after structural relaxation (PBEsol, the Alexandria database).

abc: 6.0962 6.0962 6.0962
angles: 42.64 42.64 42.64
Sites, in units of the cell vectors:
Ba 0.0000 0.0000 0.0000
Tl 0.5000 0.5000 0.5000
Co 0.1766 0.1766 0.1766
Co 0.8234 0.8234 0.8234

Computed properties:
DFT formation energy   0.2424 eV/atom
Magnetic moment   2.250 μB/f.u.
Crystal system   trigonal
Symmetry   R-3m (166)
E_tot   -4.82 eV per atom

=====

[6]
# BaCoW2

BaCoW2 after structural relaxation (PBEsol, the Alexandria database).

abc: 5.6746 5.6746 5.6746
angles: 149.23 120.98 68.04
Sites, in units of the cell vectors:
Ba 0.0000 0.0000 0.0000
Co 0.7208 0.2208 0.5000
W 0.3019 0.8019 0.5000
W 0.5182 0.5182 0.0000

Computed properties:
DFT formation energy   1.3923 eV/atom
Magnetic moment   0.045 μB/f.u.
Crystal system   orthorhombic
Symmetry   Imm2 (44)
E_tot   -7.98 eV per atom
Energy relative to the lowest polymorph listed for this composition   394 meV per atom

=====

[7]
# BaCoW2

BaCoW2 after structural relaxation (PBEsol, the Alexandria database).

abc: 3.1289 4.2399 6.8087
angles: 90.00 101.98 90.00
Sites, in units of the cell vectors:
Ba 0.0000 0.0000 0.0000
Co 0.5000 0.0000 0.5000
W 0.3006 0.5000 0.6406
W 0.6994 0.5000 0.3594

Computed properties:
DFT formation energy   1.1459 eV/atom
Magnetic moment   1.211 μB/f.u.
Crystal system   monoclinic
Symmetry   P2/m (10)
E_tot   -8.23 eV per atom
Energy relative to the lowest polymorph listed for this composition   148 meV per atom

=====

[8]
# BaCo2W

BaCo2W after structural relaxation (PBEsol, the Alexandria database).

abc: 4.5037 4.5037 4.5037
angles: 60.00 60.00 60.00
Sites, in units of the cell vectors:
Ba 0.0000 0.0000 0.0000
Co 0.2500 0.2500 0.2500
Co 0.5000 0.5000 0.5000
W 0.7500 0.7500 0.7500

Computed properties:
DFT formation energy   1.4317 eV/atom
Magnetic moment   1.394 μB/f.u.
Crystal system   cubic
Symmetry   F-43m (216)
E_tot   -6.43 eV per atom
Energy relative to the lowest polymorph listed for this composition   717 meV per atom

=====

[9]
# Ba2CoW

Ba2CoW after structural relaxation (PBEsol, the Alexandria database).

abc: 5.1598 5.1598 5.1598
angles: 60.00 60.00 60.00
Sites, in units of the cell vectors:
Ba 0.0000 0.0000 0.0000
Ba 0.2500 0.2500 0.2500
Co 0.7500 0.7500 0.7500
W 0.5000 0.5000 0.5000

Computed properties:
DFT formation energy   1.5368 eV/atom
Magnetic moment   3.262 μB/f.u.
Crystal system   cubic
Symmetry   F-43m (216)
E_tot   -4.92 eV per atom

=====

[10]
# BaCoW

BaCoW after structural relaxation (PBEsol, the Alexandria database).

abc: 3.9413 3.9413 5.2812
angles: 90.00 90.00 120.00
Sites, in units of the cell vectors:
Ba 0.0000 0.0000 0.0000
Co 0.3333 0.6667 0.5330
W 0.6667 0.3333 0.4823

Computed properties:
DFT formation energy   0.8378 eV/atom
Magnetic moment   0.000 μB/f.u.
Crystal system   trigonal
Symmetry   P3m1 (156)
E_tot   -7.06 eV per atom

=====

[11]
# BaCoW2

BaCoW2 after structural relaxation (PBEsol, the Alexandria database).

abc: 2.8793 2.8793 8.9553
angles: 90.00 90.00 91.37
Sites, in units of the cell vectors:
Ba 0.0000 0.0000 0.0000
Co 0.0000 0.0000 0.5000
W 0.5000 0.5000 0.3253
W 0.5000 0.5000 0.6747

Computed properties:
DFT formation energy   0.9981 eV/atom
Magnetic moment   1.156 μB/f.u.
Crystal system   orthorhombic
Symmetry   Cmmm (65)
E_tot   -8.38 eV per atom
Energy relative to the lowest polymorph listed for this composition   0 meV per atom

=====

[12]
# BaCo2W

BaCo2W after structural relaxation (PBEsol, the Alexandria database).

abc: 7.0099 7.0099 7.0099
angles: 151.29 151.23 41.09
Sites, in units of the cell vectors:
Ba 0.0000 0.0000 0.0000
Co 0.2655 0.7655 0.5000
Co 0.6469 0.6469 0.0000
W 0.7645 0.2645 0.5000

Computed properties:
DFT formation energy   0.7142 eV/atom
Magnetic moment   0.001 μB/f.u.
Crystal system   orthorhombic
Symmetry   Imm2 (44)
E_tot   -7.14 eV per atom
Energy relative to the lowest polymorph listed for this composition   0 meV per atom

=====

[13]
# BaCoW2

BaCoW2 after structural relaxation (PBEsol, the Alexandria database).

abc: 5.7885 5.7885 2.7841
angles: 90.00 90.00 126.26
Sites, in units of the cell vectors:
Ba 0.0000 0.0000 0.0000
Co 0.5000 0.5000 0.0000
W 0.0000 0.5000 0.5000
W 0.5000 0.0000 0.5000

Computed properties:
DFT formation energy   1.6057 eV/atom
Magnetic moment   0.960 μB/f.u.
Crystal system   orthorhombic
Symmetry   Cmmm (65)
E_tot   -7.77 eV per atom
Energy relative to the lowest polymorph listed for this composition   608 meV per atom

=====

[14]
# BaYCo2

BaYCo2 after structural relaxation (PBEsol, the Alexandria database).

abc: 5.8526 5.8526 5.8526
angles: 140.18 140.18 57.57
Sites, in units of the cell vectors:
Ba 0.0000 0.0000 0.0000
Y 0.2500 0.7500 0.5000
Co 0.5000 0.5000 0.0000
Co 0.7500 0.2500 0.5000

Computed properties:
DFT formation energy   0.6914 eV/atom
Magnetic moment   1.376 μB/f.u.
Crystal system   tetragonal
Symmetry   I-4m2 (119)
E_tot   -5.42 eV per atom
Energy relative to the lowest polymorph listed for this composition   0 meV per atom

=====

[15]
# BaY2Co

BaY2Co after structural relaxation (PBEsol, the Alexandria database).

abc: 9.6745 9.6745 9.6745
angles: 23.38 23.38 23.38
Sites, in units of the cell vectors:
Ba 0.0000 0.0000 0.0000
Y 0.2150 0.2150 0.2150
Y 0.7850 0.7850 0.7850
Co 0.5000 0.5000 0.5000

Computed properties:
DFT formation energy   0.0097 eV/atom
Magnetic moment   0.000 μB/f.u.
Crystal system   trigonal
Symmetry   R-3m (166)
E_tot   -5.87 eV per atom
Energy relative to the lowest polymorph listed for this composition   0 meV per atom

=====

[16]
# Ba2YCo

Ba2YCo after structural relaxation (PBEsol, the Alexandria database).

abc: 5.6027 5.6027 5.6027
angles: 60.00 60.00 60.00
Sites, in units of the cell vectors:
Ba 0.2500 0.2500 0.2500
Ba 0.7500 0.7500 0.7500
Y 0.0000 0.0000 0.0000
Co 0.5000 0.5000 0.5000

Computed properties:
DFT formation energy   0.8101 eV/atom
Magnetic moment   0.920 μB/f.u.
Crystal system   cubic
Symmetry   Fm-3m (225)
E_tot   -3.90 eV per atom
Energy relative to the lowest polymorph listed for this composition   200 meV per atom